# 1
{
  "formula": "MnNiCl",
  "functional": "PBE",
  "state": "optimized geometry",
  "raw_formation_energy_ev_per_atom": 0.631,
  "space_group": "F-43m",
  "magnetic_moment_mub_per_atom": 1.4936,
  "lattice": [[0.0000, 2.8710, 2.8710], [2.8710, 0.0000, 2.8710], [2.8710, 2.8710, 0.0000]],
  "species": ["Mn", "Ni", "Cl"],
  "frac_coords": [[0.0000, 0.0000, 0.0000], [0.5000, 0.5000, 0.5000], [0.2500, 0.2500, 0.2500]]
}

# 2
{
  "formula": "CrNi2Rh",
  "functional": "PBE",
  "state": "optimized geometry",
  "space_group": "C2/m",
  "magnetic_moment_mub_per_atom": 0.0039,
  "e_form_ev_per_fu": 0.24,
  "lattice": [[4.2501, -1.3026, 0.0000], [4.2501, 1.3026, 0.0000], [-0.8162, 0.0000, 4.3320]],
  "species": ["Cr", "Ni", "Ni", "Rh"],
  "frac_coords": [[0.0000, 0.0000, 0.0000], [0.2524, 0.2524, 0.7615], [0.7476, 0.7476, 0.2385], [0.5000, 0.5000, 0.5000]]
}

# 3
{
  "formula": "Mn3NbPd6",
  "functional": "PBE",
  "state": "optimized geometry",
  "space_group": "P2_1/m",
  "magnetic_moment_mub_per_atom": 1.2865,
  "e_form_ev_per_fu": -2.36,
  "lattice": [[8.4957, 0.0000, 0.0000], [0.0000, 4.0500, 0.0000], [-0.6512, 0.0000, 8.9819]],
  "species": ["Mn", "Mn", "Mn", "Mn", "Mn", "Mn", "Nb", "Nb", "Pd", "Pd", "Pd", "Pd", "Pd", "Pd", "Pd", "Pd", "Pd", "Pd", "Pd", "Pd"],
  "frac_coords": [[0.0509, 0.2500, 0.3965], [0.1509, 0.7500, 0.1891], [0.2524, 0.2500, 0.9804], [0.7476, 0.7500, 0.0196], [0.8491, 0.2500, 0.8109], [0.9491, 0.7500, 0.6035], [0.4434, 0.2500, 0.6110], [0.5566, 0.7500, 0.3890], [0.0412, 0.7500, 0.8979], [0.1342, 0.2500, 0.6885], [0.2446, 0.7500, 0.4879], [0.3430, 0.2500, 0.2945], [0.3467, 0.7500, 0.7908], [0.4402, 0.7500, 0.0967], [0.5598, 0.2500, 0.9033], [0.6533, 0.2500, 0.2092], [0.6570, 0.7500, 0.7055], [0.7554, 0.2500, 0.5121], [0.8658, 0.7500, 0.3115], [0.9588, 0.2500, 0.1021]]
}

# 4
{
  "formula": "BTeSBr2",
  "functional": "PBE",
  "state": "optimized geometry",
  "raw_formation_energy_ev_per_atom": 1.183,
  "space_group": "P4/mmm",
  "magnetic_moment_mub_per_atom": 0.0000,
  "lattice": [[4.9924, 0.0000, 0.0000], [0.0000, 4.9924, 0.0000], [0.0000, 0.0000, 5.5365]],
  "species": ["B", "Te", "S", "Br", "Br"],
  "frac_coords": [[0.0000, 0.0000, 0.0000], [0.5000, 0.5000, 0.0000], [0.5000, 0.5000, 0.5000], [0.0000, 0.5000, 0.5000], [0.5000, 0.0000, 0.5000]]
}

# 5
{
  "formula": "Tb2SmPbC",
  "functional": "PBE",
  "state": "optimized geometry",
  "space_group": "P4/mmm",
  "magnetic_moment_mub_per_atom": 0.0000,
  "e_form_ev_per_fu": -2.51,
  "lattice": [[4.9538, 0.0000, 0.0000], [0.0000, 4.9538, 0.0000], [0.0000, 0.0000, 5.0537]],
  "species": ["Tb", "Tb", "Sm", "Pb", "C"],
  "frac_coords": [[0.0000, 0.5000, 0.0000], [0.5000, 0.0000, 0.0000], [0.0000, 0.0000, 0.5000], [0.5000, 0.5000, 0.5000], [0.0000, 0.0000, 0.0000]]
}

# 6
{
  "formula": "BeTc2Se",
  "functional": "PBE",
  "state": "optimized geometry",
  "raw_formation_energy_ev_per_atom": 0.500,
  "space_group": "Cmmm",
  "magnetic_moment_mub_per_atom": 0.0002,
  "lattice": [[1.5693, -2.3098, 0.0000], [1.5693, 2.3098, 0.0000], [0.0000, 0.0000, 7.7256]],
  "species": ["Be", "Tc", "Tc", "Se"],
  "frac_coords": [[0.0000, 0.0000, 0.0000], [0.5000, 0.5000, 0.2169], [0.5000, 0.5000, 0.7831], [0.0000, 0.0000, 0.5000]]
}